The following is a PBE calculation of an optimized crystal structure of TaMnBr2, from Alexandria via LeMat-Bulk.

Cell and atoms, written as CIF:
```
data_TaMnBr2
_cell_length_a 3.145
_cell_length_b 4.828
_cell_length_c 12.444
_cell_angle_alpha 90.00
_cell_angle_beta 90.00
_cell_angle_gamma 90.00
_symmetry_space_group_name_H-M 'I m m 2'
_symmetry_Int_Tables_number 44
loop_
_symmetry_equiv_pos_as_xyz
'x,y,z'
'-x,-y,z'
'-x,y,z'
'x,-y,z'
'x+1/2,y+1/2,z+1/2'
'-x+1/2,-y+1/2,z+1/2'
'-x+1/2,y+1/2,z+1/2'
'x+1/2,-y+1/2,z+1/2'
loop_
_atom_site_label
_atom_site_type_symbol
_atom_site_fract_x
_atom_site_fract_y
_atom_site_fract_z
Ta1 Ta 0.000 0.000 0.000
Mn1 Mn 0.000 0.500 0.673
Br1 Br 0.000 0.000 0.524
Br2 Br 0.000 0.500 0.316
```

Output
distance to the lowest polymorph of the same formula: 0.539 eV/atom
E_form (uncorrected): 0.360 eV/atom



The following is a PBE calculation of an optimized crystal structure of TaMnBr2, from Alexandria via LeMat-Bulk.

Cell and atoms, written as CIF:
```
data_TaMnBr2
_cell_length_a 3.933
_cell_length_b 3.933
_cell_length_c 10.510
_cell_angle_alpha 90.00
_cell_angle_beta 90.00
_cell_angle_gamma 90.00
_symmetry_space_group_name_H-M 'I -4 m 2'
_symmetry_Int_Tables_number 119
_symmetry_space_group_name_Hall 'I -4 -2'
loop_
_atom_site_label
_atom_site_type_symbol
_atom_site_fract_x
_atom_site_fract_y
_atom_site_fract_z
Ta1 Ta 0.000 0.000 0.000
Mn1 Mn 0.000 0.500 0.250
Br1 Br 0.000 0.000 0.500
Br2 Br 0.000 0.500 0.750
```

Output
distance to the lowest polymorph of the same formula: 0.986 eV/atom
E_form (uncorrected): 0.807 eV/atom



The following is a PBE calculation of an optimized crystal structure of Ta2MnBr, from Alexandria via LeMat-Bulk.

Cell and atoms, written as CIF:
```
data_Ta2MnBr
_cell_length_a 6.231
_cell_length_b 6.967
_cell_length_c 3.043
_cell_angle_alpha 90.00
_cell_angle_beta 90.00
_cell_angle_gamma 90.00
_symmetry_space_group_name_H-M 'C m m m'
_symmetry_Int_Tables_number 65
_symmetry_space_group_name_Hall '-C 2 2'
loop_
_atom_site_label
_atom_site_type_symbol
_atom_site_fract_x
_atom_site_fract_y
_atom_site_fract_z
Ta1 Ta 0.250 0.250 0.000
Mn1 Mn 0.000 0.000 0.500
Br1 Br 0.000 0.500 0.500
```

Output
distance to the lowest polymorph of the same formula: 0.441 eV/atom
E_form (uncorrected): 0.649 eV/atom



The following is a PBE calculation of an optimized crystal structure of TaMnBr2, from Alexandria via LeMat-Bulk.

Cell and atoms, written as CIF:
```
data_TaMnBr2
_cell_length_a 3.511
_cell_length_b 3.276
_cell_length_c 8.565
_cell_angle_alpha 90.00
_cell_angle_beta 101.02
_cell_angle_gamma 90.00
_symmetry_space_group_name_H-M 'P 1 m 1'
_symmetry_Int_Tables_number 6
loop_
_symmetry_equiv_pos_as_xyz
'x,y,z'
'x,-y,z'
loop_
_atom_site_label
_atom_site_type_symbol
_atom_site_fract_x
_atom_site_fract_y
_atom_site_fract_z
Ta1 Ta 0.000 0.000 0.000
Mn1 Mn 0.556 0.500 0.143
Br1 Br 0.190 0.000 0.320
Br2 Br 0.882 0.500 0.754
```

Output
distance to the lowest polymorph of the same formula: 0.000 eV/atom
E_form (uncorrected): -0.179 eV/atom



The following is a PBE calculation of an optimized crystal structure of TaMnBr2, from Alexandria via LeMat-Bulk.

Cell and atoms, written as CIF:
```
data_TaMnBr2
_cell_length_a 6.392
_cell_length_b 7.427
_cell_length_c 3.168
_cell_angle_alpha 90.00
_cell_angle_beta 90.00
_cell_angle_gamma 90.00
_symmetry_space_group_name_H-M 'C m m m'
_symmetry_Int_Tables_number 65
_symmetry_space_group_name_Hall '-C 2 2'
loop_
_atom_site_label
_atom_site_type_symbol
_atom_site_fract_x
_atom_site_fract_y
_atom_site_fract_z
Ta1 Ta 0.000 0.000 0.000
Mn1 Mn 0.000 0.500 0.000
Br1 Br 0.250 0.250 0.500
```

Output
distance to the lowest polymorph of the same formula: 0.915 eV/atom
E_form (uncorrected): 0.737 eV/atom



The following is a PBE calculation of an optimized crystal structure of TaMnBr, from Alexandria via LeMat-Bulk.

Cell and atoms, written as CIF:
```
data_TaMnBr
_cell_length_a 12.259
_cell_length_b 3.130
_cell_length_c 3.238
_cell_angle_alpha 90.00
_cell_angle_beta 105.22
_cell_angle_gamma 90.00
_symmetry_space_group_name_H-M 'C 1 m 1'
_symmetry_Int_Tables_number 8
loop_
_symmetry_equiv_pos_as_xyz
'x,y,z'
'x,-y,z'
'x+1/2,y+1/2,z'
'x+1/2,-y+1/2,z'
loop_
_atom_site_label
_atom_site_type_symbol
_atom_site_fract_x
_atom_site_fract_y
_atom_site_fract_z
Ta1 Ta 0.000 0.000 0.000
Mn1 Mn 0.395 0.000 0.396
Br1 Br 0.187 0.500 0.183
```

Output
distance to the lowest polymorph of the same formula: 0.025 eV/atom
E_form (uncorrected): 0.295 eV/atom



The following is a PBE calculation of an optimized crystal structure of Ta2MnBr, from Alexandria via LeMat-Bulk.

Cell and atoms, written as CIF:
```
data_Ta2MnBr
_cell_length_a 5.306
_cell_length_b 5.306
_cell_length_c 12.976
_cell_angle_alpha 90.00
_cell_angle_beta 90.00
_cell_angle_gamma 90.00
_symmetry_space_group_name_H-M 'I -4 2 d'
_symmetry_Int_Tables_number 122
_symmetry_space_group_name_Hall 'I -4 2bw'
loop_
_atom_site_label
_atom_site_type_symbol
_atom_site_fract_x
_atom_site_fract_y
_atom_site_fract_z
Ta1 Ta 0.181 0.250 0.125
Mn1 Mn 0.000 0.000 0.000
Br1 Br 0.000 0.000 0.500
```

Output
distance to the lowest polymorph of the same formula: 0.956 eV/atom
E_form (uncorrected): 1.164 eV/atom



The following is a PBE calculation of an optimized crystal structure of TaMnBr2, from Alexandria via LeMat-Bulk.

Cell and atoms, written as CIF:
```
data_TaMnBr2
_cell_length_a 6.376
_cell_length_b 6.376
_cell_length_c 6.376
_cell_angle_alpha 90.00
_cell_angle_beta 90.00
_cell_angle_gamma 90.00
_symmetry_space_group_name_H-M 'F m -3 m'
_symmetry_Int_Tables_number 225
_symmetry_space_group_name_Hall '-F 4 2 3'
loop_
_atom_site_label
_atom_site_type_symbol
_atom_site_fract_x
_atom_site_fract_y
_atom_site_fract_z
Ta1 Ta 0.000 0.000 0.000
Mn1 Mn 0.000 0.000 0.500
Br1 Br 0.250 0.250 0.250
```

Output
distance to the lowest polymorph of the same formula: 1.178 eV/atom
E_form (uncorrected): 1.000 eV/atom



Results for volume: 23.6, 20.3, 16.5, 24.2, 18.8, 20.0, 22.8, 16.2 (in Å³/atom, following the order of the records).
Results for total energy: -45.85, -42.28, -63.90, -25.08, -42.84, -43.62, -119.57, -81.48 (in eV per cell, following the order of the records).
Results for magnetic moment: 6.09, 3.18, 3.37, 2.13, 7.32, 2.56, 0.00, 0.00 (in μB per cell, following the order of the records).